[1]
Here is a relaxed Na2NiNF crystal from Alexandria. Energies are from PBE+U.

a = 5.100 Å, b = 5.100 Å, c = 3.337 Å
α = 90.00°, β = 90.00°, γ = 90.00°
Positions (direct):
Na: 0.000 0.500 0.000
Na: 0.500 0.000 0.000
Ni: 0.000 0.000 0.000
N: 0.000 0.000 0.500
F: 0.500 0.500 0.500

## Properties
Energy (eV per atom): -3.48

=====

[2]
Here is a relaxed NaNiNF2 crystal from Alexandria. Energies are from PBE+U.

a = 4.121 Å, b = 4.121 Å, c = 3.846 Å
α = 90.00°, β = 90.00°, γ = 90.00°
Positions (direct):
Na: 0.000 0.000 0.000
Ni: 0.500 0.500 0.500
N: 0.500 0.500 0.000
F: 0.000 0.500 0.500
F: 0.500 0.000 0.500

## Properties
Energy (eV per atom): -4.13

=====

[3]
Here is a relaxed NaNiNF2 crystal from Alexandria. Energies are from PBE+U.

a = 4.041 Å, b = 4.041 Å, c = 4.345 Å
α = 90.00°, β = 90.00°, γ = 90.00°
Positions (direct):
Na: 0.000 0.000 0.000
Ni: 0.500 0.500 0.500
N: 0.000 0.000 0.500
F: 0.000 0.500 0.000
F: 0.500 0.000 0.000

## Properties
Energy (eV per atom): -3.11